# 1
Entry from Alexandria via LeMat-Bulk: an optimized crystal structure of ZrInTc2 (PBE).

a b c (Å): 5.328 5.328 5.328
angles (deg): 136.37 136.37 63.40
Element x y z (fractional)
Tc  0.250  0.750  0.500
Tc  0.000  0.000  0.000
Zr  0.500  0.500  0.000
In  0.750  0.250  0.500

Output
- E above lowest polymorph (meV per atom) = 176.0
- ΔE_f (eV per formula unit) = 0.27

=====

# 2
Entry from Alexandria via LeMat-Bulk: an optimized crystal structure of VTcNiRu (PBE).

a b c (Å): 4.212 4.212 4.212
angles (deg): 60.00 60.00 60.00
Element x y z (fractional)
Tc  0.500  0.500  0.500
V  0.750  0.750  0.750
Ni  0.250  0.250  0.250
Ru  0.000  0.000  0.000

Output
- ΔE_f (eV per formula unit) = -0.05

=====

# 3
Entry from Alexandria via LeMat-Bulk: an optimized crystal structure of LiHg2Os (PBE).

a b c (Å): 7.305 4.666 3.156
angles (deg): 90.01 64.39 129.49
Element x y z (fractional)
Hg  0.000  0.000  0.000
Hg  0.500  0.000  0.500
Li  0.000  0.500  0.500
Os  0.500  0.500  0.000

Output
- E above lowest polymorph (meV per atom) = 0.0
- ΔE_f (eV per formula unit) = 1.21

=====

Total DFT energy (no corrections), record by record: -7.9365, -8.6486, -3.1337 eV per atom